A plane-wave DFT calculation with PBE with a Hubbard U was carried out for a relaxed structure of V2O5.

a b c (Å): 5.3117 11.7683 3.3115
angles (deg): 90.00 90.00 90.00
Space group Pbam (No. 55)
Asymmetric unit:
1 V 0.1586 0.1356 0.0000
2 O 0.0000 0.0000 0.0000
3 O 0.0826 0.7750 0.0000
4 O 0.2046 0.6155 0.5000

- Magnetic moment: 0.00 μB/f.u.
- Final energy: -103.85 eV for the cell shown